Record 1
Entry from the Alexandria database: a relaxed Cs2PuNb3O12 crystal (PBE-GGA).

Geometry as CIF:
```
data_Cs2PuNb3O12
_chemical_formula_sum 'Cs6 Pu3 Nb9 O36'
_space_group_name_H-M_alt 'R -3 m'
_space_group_IT_number 166
_space_group_name_Hall '-R 3 2"'
_cell_length_a 7.5242
_cell_length_b 7.5242
_cell_length_c 18.9689
_cell_angle_alpha 90.00
_cell_angle_beta 90.00
_cell_angle_gamma 120.00
loop_
_atom_site_label
_atom_site_fract_x
_atom_site_fract_y
_atom_site_fract_z
Cs1 0.0000 0.0000 0.1159
Pu1 0.0000 0.0000 0.5000
Nb1 0.0000 0.5000 0.0000
O1 0.0816 0.5408 0.1052
O2 0.0852 0.5426 0.3519
```

Output
Formation energy from raw total energies, meV per atom: -2433
Final energy, eV per cell: -448.6

---

Record 2
Entry from the Alexandria database: a relaxed CaSb2Te2 crystal (PBE-GGA).

Geometry as CIF:
```
data_CaSb2Te2
_chemical_formula_sum 'Ca2 Sb4 Te4'
_space_group_name_H-M_alt 'P 4/m b m'
_space_group_IT_number 127
_space_group_name_Hall '-P 4 2ab'
_cell_length_a 8.3938
_cell_length_b 8.3938
_cell_length_c 4.4557
_cell_angle_alpha 90.00
_cell_angle_beta 90.00
_cell_angle_gamma 90.00
loop_
_atom_site_label
_atom_site_fract_x
_atom_site_fract_y
_atom_site_fract_z
Ca1 0.0000 0.0000 0.0000
Sb1 0.1359 0.3641 0.0000
Te1 0.1980 0.6980 0.5000
```

Output
Formation energy from raw total energies, meV per atom: -341
Final energy, eV per cell: -36.5

---

Record 3
Entry from the Alexandria database: a relaxed CdAsIN2 crystal (PBE-GGA).

Geometry as CIF:
```
data_CdAsIN2
_chemical_formula_sum 'Cd1 As1 I1 N2'
_space_group_name_H-M_alt 'P 4/m m m'
_space_group_IT_number 123
_space_group_name_Hall '-P 4 2'
_cell_length_a 3.9514
_cell_length_b 3.9514
_cell_length_c 6.5185
_cell_angle_alpha 90.00
_cell_angle_beta 90.00
_cell_angle_gamma 90.00
loop_
_atom_site_label
_atom_site_fract_x
_atom_site_fract_y
_atom_site_fract_z
Cd1 0.0000 0.0000 0.0000
As1 0.0000 0.0000 0.5000
I1 0.5000 0.5000 0.0000
N1 0.0000 0.5000 0.5000
```

Output
Formation energy from raw total energies, meV per atom: 1219
Final energy, eV per cell: -17.7